A relaxed EuCd2Hg crystal. Source: Alexandria via LeMat-Bulk, functional GGA-PBE.

Values from the calculation:
Energy of formation, eV/f.u.: 0.51
ΔE to the lowest computed polymorph, meV/atom: 418
Uncorrected energy, eV per cell: -11.9
Crystal system: trigonal
Volume, Å³/cell: 117

a b c (Å): 3.4576 3.4576 11.5200
angles (deg): 81.37 81.37 60.00
Site moments in Bohr magnetons follow the coordinates.
Fractional coordinates of all 4 atoms:
Eu: 0.0000 0.0000 0.0000  -7.21
Hg: 0.5000 0.5000 0.5000  0.00
Cd: 0.0949 0.0949 0.7154  0.00
Cd: 0.9051 0.9051 0.2846  0.00